Entry 1:
Compound: Li2CuPt
Source: Alexandria via LeMat-Bulk
Functional: PBE
Structure: relaxed

Total moment ... 0.000 μB/atom
Density of states at the Fermi level ... 1.59 states/eV/cell

Cell lengths 2.7425, 4.2682, 4.6466 Å; angles 90.00, 95.46, 90.00 degrees
Last column: nearest neighbours and their distance in Å.
Space group P2/m (No. 10)
Asymmetric unit:
Li  0.2311  0.0000  0.2409 x2  4 Li 2.47-2.74, 2 Pt 2.55, 2 Cu 2.56
Cu  0.0000  0.5000  0.5000 x1  4 Li 2.56, 4 Pt 2.58-2.81, 2 Cu 2.74
Pt  0.5000  0.5000  0.0000 x1  4 Li 2.55, 4 Cu 2.58-2.81, 2 Pt 2.74

Entry 2:
Compound: Be2AlV2Co5
Source: Alexandria via LeMat-Bulk
Functional: PBE
Structure: relaxed

Total moment ... 0.072 μB/atom
Density of states at the Fermi level ... 14.87 states/eV/cell

Cell lengths 8.4300, 8.4300, 2.9917 Å; angles 90.00, 90.00, 90.00 degrees
Last column: nearest neighbours and their distance in Å.
Space group P4/mbm (No. 127)
Asymmetric unit:
Be  0.1211  0.3789  0.0000 x4  6 Co 2.08-2.10
Al  0.0000  0.0000  0.0000 x2  8 Co 2.40
V  0.1746  0.6746  0.0000 x4  3 Be 2.44-2.53, 10 Co 2.56-2.72
Co  0.0000  0.5000  0.5000 x2  4 Be 2.08
Co  0.0700  0.2119  0.5000 x8  2 Be 2.10

Number 1: energy relative to the elements -329 meV per atom, E_tot -0.2808 Ry/atom. Number 2: energy relative to the elements -235 meV per atom, E_tot -0.4948 Ry/atom.